Arrangement 1

HgMo2P, optimized geometry, DFT PBE; density of states at the Fermi level = 3.871 states/eV per cell; SG = No. 166; total magnetic moment = 0.0 μB/cell
1.0
1.767 1.020 6.592
-1.767 1.020 6.592
0.000 -2.041 6.592
Hg Mo P
1 2 1
Cartesian
0.000 0.000 0.000
0.000 0.000 4.452
0.000 0.000 15.323
0.000 0.000 9.887



Arrangement 2

HgMo2P, optimized geometry, DFT PBE; density of states at the Fermi level = 3.314 states/eV per cell; SG = No. 8; total magnetic moment = 0.0 μB/cell
1.0
4.237 -1.562 0.000
4.237 1.562 0.000
-1.160 0.000 5.774
Hg Mo P
1 2 1
Cartesian
0.000 0.000 0.000
3.394 0.000 3.130
6.024 0.000 1.809
1.026 0.000 3.535



Of them, the most stable is arrangement 1 and the least stable is arrangement 2.



Arrangement 1

HgMoP3, optimized geometry, DFT PBE; density of states at the Fermi level = 8.858 states/eV per cell; SG = No. 221; total magnetic moment = 0.0 μB/cell
1.0
4.812 0.000 0.000
0.000 4.812 0.000
0.000 0.000 4.812
Hg Mo P
1 1 3
Cartesian
0.000 0.000 0.000
2.406 2.406 2.406
0.000 0.000 2.406
0.000 2.406 0.000
2.406 0.000 0.000



Arrangement 2

HgMoP3, optimized geometry, DFT PBE; density of states at the Fermi level = 4.838 states/eV per cell; SG = No. 221; total magnetic moment = 0.0 μB/cell
1.0
4.740 0.000 0.000
0.000 4.740 0.000
0.000 0.000 4.740
Hg Mo P
1 1 3
Cartesian
0.000 0.000 0.000
2.370 2.370 2.370
0.000 2.370 2.370
2.370 0.000 2.370
2.370 2.370 0.000



Of them, the most stable is arrangement 2 and the least stable is arrangement 1.



Arrangement 1

HgMoP, optimized geometry, DFT PBE; density of states at the Fermi level = 3.368 states/eV per cell; SG = No. 107; total magnetic moment = 0.4 μB/cell
1.0
-1.596 1.596 5.173
1.596 -1.596 5.173
1.596 1.596 -5.173
Hg Mo P
1 1 1
Cartesian
0.000 0.000 0.000
0.000 0.000 3.080
0.000 0.000 7.301



Arrangement 2

HgMoP, optimized geometry, DFT PBE; density of states at the Fermi level = 1.621 states/eV per cell; SG = No. 187; total magnetic moment = 0.0 μB/cell
1.0
4.056 0.000 0.000
-2.028 3.513 0.000
0.000 0.000 3.850
Hg Mo P
1 1 1
Cartesian
0.000 0.000 0.000
2.028 1.171 1.925
0.000 2.342 1.925



Of them, the most stable is arrangement 1 and the least stable is arrangement 2.



Arrangement 1

HgMoP2, optimized geometry, DFT PBE; density of states at the Fermi level = 1.783 states/eV per cell; SG = No. 99; total magnetic moment = 0.0 μB/cell
1.0
3.312 0.000 0.000
0.000 3.312 0.000
0.000 0.000 7.252
Hg Mo P
1 1 2
Cartesian
0.000 0.000 0.000
1.656 1.656 3.359
0.000 0.000 2.579
1.656 1.656 5.577



Arrangement 2

HgMoP2, optimized geometry, DFT PBE; density of states at the Fermi level = 2.139 states/eV per cell; SG = No. 65; total magnetic moment = 0.0 μB/cell
1.0
1.684 -2.362 0.000
1.684 2.362 0.000
0.000 0.000 10.104
Hg Mo P
1 1 2
Cartesian
0.000 0.000 0.000
0.000 0.000 5.052
1.684 0.000 3.278
1.684 0.000 6.826



Arrangement 3

HgMoP2, optimized geometry, DFT PBE; density of states at the Fermi level = 2.239 states/eV per cell; SG = No. 8; total magnetic moment = 0.0 μB/cell
1.0
7.612 -1.553 0.000
7.612 1.553 0.000
-0.622 0.000 3.044
Hg Mo P
1 1 2
Cartesian
0.000 0.000 0.000
11.183 0.000 2.298
2.591 0.000 0.508
5.175 0.000 1.038



Arrangement 4

HgMoP2, optimized geometry, DFT PBE; density of states at the Fermi level = 0.987 states/eV per cell; SG = No. 123; total magnetic moment = 0.0 μB/cell
1.0
3.124 0.000 0.000
0.000 3.124 0.000
0.000 0.000 7.443
Hg Mo P
1 1 2
Cartesian
0.000 0.000 0.000
0.000 0.000 3.721
1.562 1.562 2.439
1.562 1.562 5.004



Of them, the most stable is arrangement 3 and the least stable is arrangement 2.